# 1
YHfBe2 | OQMD via LeMat-Bulk | GGA-PBE | relaxed; total magnetization = 1.7 Bohr magnetons per cell; SG = F-43m (216); theoretical density = 6.6 g/cm³; final energy = -5.212 eV/atom; calculated volume = 17.93 Å³ per atom
1.0
2.987 -3.042 1.889
-0.917 -1.889 4.164
-1.149 -4.509 0.313
Be Hf Y
2 1 1
Direct
0.000 0.000 0.000
0.250 0.250 0.250
0.500 0.500 0.500
0.750 0.750 0.750

---

# 2
HfBe2Zn | OQMD via LeMat-Bulk | GGA-PBE | relaxed; total magnetization = 0.0 Bohr magnetons per cell; SG = F-43m (216); theoretical density = 8.1 g/cm³; final energy = -4.555 eV/atom; calculated volume = 13.42 Å³ per atom
1.0
3.406 -2.505 -0.235
1.984 -1.214 3.539
-0.241 -4.027 1.287
Be Hf Zn
2 1 1
Direct
0.000 0.000 0.000
0.750 0.750 0.750
0.500 0.500 0.500
0.250 0.250 0.250

---

# 3
Hf2Be2Zn | OQMD via LeMat-Bulk | GGA-PBE | relaxed; total magnetization = 0.0 Bohr magnetons per cell; SG = P4/mbm (127); theoretical density = 9.8 g/cm³; final energy = -5.965 eV/atom; calculated volume = 14.91 Å³ per atom
1.0
6.173 0.000 0.000
0.000 6.173 0.000
0.000 0.000 3.912
Be Hf Zn
4 4 2
Direct
0.375 0.125 0.000
0.875 0.375 0.000
0.125 0.625 0.000
0.625 0.875 0.000
0.672 0.172 0.500
0.172 0.328 0.500
0.828 0.672 0.500
0.328 0.828 0.500
0.000 0.000 0.000
0.500 0.500 0.000

---

# 4
Hf2BeZn | OQMD via LeMat-Bulk | GGA-PBE | relaxed; total magnetization = 1.4 Bohr magnetons per cell; SG = F-43m (216); theoretical density = 10.2 g/cm³; final energy = -5.726 eV/atom; calculated volume = 17.58 Å³ per atom
1.0
0.000 3.276 3.276
3.276 0.000 3.276
3.276 3.276 0.000
Be Hf Zn
1 2 1
Direct
0.250 0.250 0.250
0.000 0.000 0.000
0.750 0.750 0.750
0.500 0.500 0.500

---

# 5
HfZrBe2 | OQMD via LeMat-Bulk | GGA-PBE | relaxed; total magnetization = 1.0 Bohr magnetons per cell; SG = F-43m (216); theoretical density = 7.3 g/cm³; final energy = -5.861 eV/atom; calculated volume = 16.36 Å³ per atom
1.0
0.341 -3.754 2.500
-3.671 -1.726 2.001
-1.776 -3.882 -1.495
Be Hf Zr
2 1 1
Direct
0.000 0.000 0.000
0.250 0.250 0.250
0.500 0.500 0.500
0.750 0.750 0.750

---

# 6
Be4Hg | OQMD via LeMat-Bulk | GGA-PBE | relaxed; SG = P4/nmm (129); theoretical density = 6.9 g/cm³; final energy = -2.780 eV/atom; calculated volume = 11.32 Å³ per atom
1.0
3.192 0.000 0.000
0.000 3.192 0.000
0.000 0.000 11.113
Be Hg
8 2
Direct
0.000 0.000 0.000
0.500 0.500 0.000
0.000 0.000 0.362
0.500 0.500 0.362
0.500 0.000 0.495
0.000 0.500 0.505
0.000 0.000 0.638
0.500 0.500 0.638
0.000 0.500 0.177
0.500 0.000 0.823

---

# 7
BeInNiHg | OQMD via LeMat-Bulk | GGA-PBE | relaxed; total magnetization = 0.0 Bohr magnetons per cell; SG = F-43m (216); theoretical density = 10.3 g/cm³; final energy = -2.786 eV/atom; E above lowest polymorph = 0 meV per atom; calculated volume = 15.51 Å³ per atom
1.0
1.073 -0.820 4.234
-3.135 -1.278 2.879
-0.041 -4.170 1.534
Be Hg In Ni
1 1 1 1
Direct
0.250 0.250 0.250
0.500 0.500 0.500
0.000 0.000 0.000
0.750 0.750 0.750

---

# 8
BeInNiHg | OQMD via LeMat-Bulk | GGA-PBE | relaxed; total magnetization = 0.0 Bohr magnetons per cell; SG = F-43m (216); theoretical density = 9.9 g/cm³; final energy = -2.695 eV/atom; E above lowest polymorph = 91 meV per atom; calculated volume = 16.03 Å³ per atom
1.0
0.000 3.176 3.176
3.176 0.000 3.176
3.176 3.176 0.000
Be Hg In Ni
1 1 1 1
Direct
0.500 0.500 0.500
0.250 0.250 0.250
0.000 0.000 0.000
0.750 0.750 0.750

---

# 9
BeHgIr2 | OQMD via LeMat-Bulk | GGA-PBE | relaxed; total magnetization = 1.2 Bohr magnetons per cell; SG = F-43m (216); theoretical density = 16.3 g/cm³; final energy = -4.915 eV/atom; calculated volume = 15.14 Å³ per atom
1.0
0.000 3.117 3.117
3.117 0.000 3.117
3.117 3.117 0.000
Be Hg Ir
1 1 2
Direct
0.500 0.500 0.500
0.250 0.250 0.250
0.000 0.000 0.000
0.750 0.750 0.750

---

# 10
BeNbHgIr | OQMD via LeMat-Bulk | GGA-PBE | relaxed; total magnetization = 0.0 Bohr magnetons per cell; SG = F-43m (216); theoretical density = 12.9 g/cm³; final energy = -5.600 eV/atom; E above lowest polymorph = 45 meV per atom; calculated volume = 15.97 Å³ per atom
1.0
0.000 3.173 3.173
3.173 0.000 3.173
3.173 3.173 0.000
Be Hg Ir Nb
1 1 1 1
Direct
0.750 0.750 0.750
0.500 0.500 0.500
0.000 0.000 0.000
0.250 0.250 0.250

---

# 11
BeNbHgIr | OQMD via LeMat-Bulk | GGA-PBE | relaxed; total magnetization = 0.2 Bohr magnetons per cell; SG = F-43m (216); theoretical density = 13.2 g/cm³; final energy = -5.442 eV/atom; E above lowest polymorph = 203 meV per atom; calculated volume = 15.57 Å³ per atom
1.0
0.000 3.146 3.146
3.146 0.000 3.146
3.146 3.146 0.000
Be Hg Ir Nb
1 1 1 1
Direct
0.750 0.750 0.750
0.250 0.250 0.250
0.000 0.000 0.000
0.500 0.500 0.500

---

# 12
BeNbHgIr | OQMD via LeMat-Bulk | GGA-PBE | relaxed; total magnetization = 0.0 Bohr magnetons per cell; SG = F-43m (216); theoretical density = 13.1 g/cm³; final energy = -5.645 eV/atom; E above lowest polymorph = 0 meV per atom; calculated volume = 15.73 Å³ per atom
1.0
2.124 1.541 3.612
-1.000 -1.620 4.038
2.925 -2.600 2.149
Be Hg Ir Nb
1 1 1 1
Direct
0.750 0.750 0.750
0.000 0.000 0.000
0.250 0.250 0.250
0.500 0.500 0.500

---

- Look up the calculated volume of the seventh one.
  15.51 Å³ per atom